No. 1
CdOsCl2: relaxed, GGA-PBE.

Values from the calculation:
Distance to the lowest polymorph of the same formula in meV/atom: 229
M_tot in μB/f.u.: 0.00
Uncorrected energy in eV per atom: -3.6852
Formation energy from raw total energies in eV/atom: 0.2743

abc: 3.6305 3.6305 28.0417
angles: 90.00 90.00 120.00
Space group R-3m (No. 166, hexagonal axes)
One atom of each set of equivalent atoms:
Cd1 0.0000 0.0000 0.0000 x3
Os1 0.0000 0.0000 0.5000 x3
Cl1 0.0000 0.0000 0.2087 x6

No. 2
HfHgN2O: relaxed, GGA-PBE.

Values from the calculation:
Density of states at the Fermi level in states/eV per cell: 2.0
M_tot in μB/f.u.: 0.00
Uncorrected energy in eV per atom: -5.2579
Formation energy from raw total energies in eV/atom: 1.1149

abc: 4.129 4.129 4.014
angles: 90.00 90.00 90.00
Space group P4/mmm (No. 123)
One atom of each set of equivalent atoms:
Hf1 0.000 0.000 0.000 x1
Hg1 0.500 0.500 0.500 x1
N1 0.000 0.500 0.500 x2
O1 0.500 0.500 0.000 x1

No. 3
PmPN2: relaxed, GGA-PBE.

Values from the calculation:
Distance to the lowest polymorph of the same formula in meV/atom: 0
M_tot in μB/f.u.: 0.00
Uncorrected energy in eV per atom: -7.6655
Formation energy from raw total energies in eV/atom: -0.9627

abc: 3.754 5.830 6.272
angles: 90.00 90.13 90.00
Space group P2_1/m (No. 11)
One atom of each set of equivalent atoms:
Pm1 0.250 0.250 0.151 x2
P1 0.250 0.250 0.659 x2
N1 0.249 0.021 0.801 x4

No. 4
Pr2GaSi3Pt4: relaxed, GGA-PBE.

Values from the calculation:
Density of states at the Fermi level in states/eV per cell: 4.8
M_tot in μB/f.u.: 0.00
Uncorrected energy in eV per atom: -6.3880
Formation energy from raw total energies in eV/atom: -1.0862

abc: 4.314 4.314 9.951
angles: 90.00 90.00 90.00
Space group P-4m2 (No. 115)
One atom of each set of equivalent atoms:
Pr1 0.000 0.500 0.246 x2
Ga1 0.500 0.500 0.000 x1
Si1 0.000 0.000 0.000 x1
Si2 0.000 0.500 0.626 x2
Pt1 0.000 0.000 0.500 x1
Pt2 0.000 0.500 0.868 x2
Pt3 0.500 0.500 0.500 x1

No. 5
Tl3SnS4: relaxed, GGA-PBE.

Values from the calculation:
Density of states at the Fermi level in states/eV per cell: 6.3
Distance to the lowest polymorph of the same formula in meV/atom: 0
M_tot in μB/f.u.: 0.00
Uncorrected energy in eV per atom: -3.7622
Formation energy from raw total energies in eV/atom: -0.3107

abc: 11.323 6.407 6.505
angles: 90.00 90.00 90.00
Space group Pmn2_1 (No. 31)
One atom of each set of equivalent atoms:
Tl1 0.000 0.242 0.000 x2
Tl2 0.250 0.253 0.470 x4
Sn1 0.000 0.683 0.544 x2
S1 0.000 0.301 0.504 x2
S2 0.000 0.743 0.916 x2
S3 0.194 0.789 0.427 x4

No. 6
LaHo3Tl: relaxed, GGA-PBE.

Values from the calculation:
Density of states at the Fermi level in states/eV per cell: 50.4
Distance to the lowest polymorph of the same formula in meV/atom: 59
M_tot in μB/f.u.: 0.00
Uncorrected energy in eV per atom: -4.2524

abc: 14.725 13.203 6.570
angles: 90.00 104.22 90.00
Space group C2/c (No. 15)
One atom of each set of equivalent atoms:
La1 0.104 0.067 0.478 x8
Ho1 0.101 0.193 0.977 x8
Ho2 0.187 0.315 0.636 x8
Ho3 0.193 0.426 0.138 x8
Tl1 0.000 0.332 0.250 x4
Tl2 0.000 0.417 0.750 x4

No. 7
Cd3Ag8Hg2: relaxed, GGA-PBE.

Values from the calculation:
Density of states at the Fermi level in states/eV per cell: 11.6
M_tot in μB/f.u.: 0.00
Uncorrected energy in eV per atom: -1.9182

abc: 5.5613 5.5613 31.0497
angles: 90.00 90.00 120.00
Space group R-3m (No. 166, hexagonal axes)
One atom of each set of equivalent atoms:
Cd1 0.0000 0.0000 0.0000 x3
Cd2 0.0000 0.0000 0.1819 x6
Ag1 0.0000 0.0000 0.2704 x6
Ag2 0.0011 0.5006 0.7703 x18
Hg1 0.0000 0.0000 0.3588 x6

No. 8
Na2Zn2In: relaxed, GGA-PBE.

Values from the calculation:
Density of states at the Fermi level in states/eV per cell: 4.2
Distance to the lowest polymorph of the same formula in meV/atom: 0
M_tot in μB/f.u.: 0.00
Uncorrected energy in eV per atom: -1.5846

abc: 7.038 7.038 4.932
angles: 90.00 90.00 90.00
Space group P4/mbm (No. 127)
One atom of each set of equivalent atoms:
Na1 0.177 0.323 0.000 x4
Zn1 0.126 0.626 0.500 x4
In1 0.000 0.000 0.500 x2

No. 9
Dy2Ga3Au5: relaxed, GGA-PBE.

Values from the calculation:
Density of states at the Fermi level in states/eV per cell: 18.5
Distance to the lowest polymorph of the same formula in meV/atom: 0
M_tot in μB/f.u.: 0.00
Uncorrected energy in eV per atom: -4.0600

abc: 4.491 24.705 7.125
angles: 90.00 90.00 90.00
Space group Cmc2_1 (No. 36)
One atom of each set of equivalent atoms:
Dy1 0.000 0.019 0.000 x4
Dy2 0.000 0.325 0.007 x4
Ga1 0.000 0.103 0.684 x4
Ga2 0.000 0.273 0.534 x4
Ga3 0.000 0.449 0.808 x4
Au1 0.000 0.105 0.306 x4
Au2 0.000 0.200 0.821 x4
Au3 0.000 0.215 0.233 x4
Au4 0.000 0.381 0.515 x4
Au5 0.000 0.450 0.194 x4

No. 10
Se2I2Cl: relaxed, GGA-PBE.

Values from the calculation:
Density of states at the Fermi level in states/eV per cell: 2.8
Distance to the lowest polymorph of the same formula in meV/atom: 247
M_tot in μB/f.u.: 1.00
Uncorrected energy in eV per atom: -2.1247
Formation energy from raw total energies in eV/atom: 0.2585

abc: 8.334 8.334 5.770
angles: 90.00 90.00 90.00
Space group P4/mbm (No. 127)
One atom of each set of equivalent atoms:
Se1 0.092 0.408 0.000 x4
I1 0.237 0.263 0.500 x4
Cl1 0.000 0.000 0.500 x2

No. 11
Sm6Hg2NO: relaxed, GGA-PBE.

Values from the calculation:
Density of states at the Fermi level in states/eV per cell: 27.0
M_tot in μB/f.u.: 0.00
Uncorrected energy in eV per atom: -5.3247
Formation energy from raw total energies in eV/atom: -1.1045

abc: 9.827 9.827 9.827
angles: 90.00 90.00 90.00
Space group Fm-3m (No. 225)
One atom of each set of equivalent atoms:
Sm1 0.000 0.000 0.248 x24
Hg1 0.250 0.250 0.250 x8
N1 0.000 0.000 0.000 x4
O1 0.000 0.000 0.500 x4

No. 12
HfGaRh: relaxed, GGA-PBE.

Values from the calculation:
Density of states at the Fermi level in states/eV per cell: 5.5
M_tot in μB/f.u.: 0.00
Uncorrected energy in eV per atom: -7.6090

abc: 7.3061 7.3061 3.2764
angles: 90.00 90.00 120.00
Space group P-62m (No. 189)
One atom of each set of equivalent atoms:
Hf1 0.0000 0.3902 0.0000 x3
Ga1 0.0000 0.7247 0.5000 x3
Rh1 0.0000 0.0000 0.0000 x1
Rh2 0.3333 0.6667 0.5000 x2

Which of these has the highest uncorrected energy? Na2Zn2In